Entry from Alexandria: a relaxed structure of LuTaCoRh (PBE-GGA).

Values from the calculation:
The formation energy is -0.334 eV per atom.

a b c (Å): 6.4334 6.4334 6.4334
angles (deg): 90.00 90.00 90.00
Space group F-43m (No. 216)
Inequivalent atoms, fractional coordinates:
1 Lu 0.0000 0.0000 0.0000 x4
2 Ta 0.0000 0.0000 0.5000 x4
3 Co 0.2500 0.2500 0.7500 x4
4 Rh 0.2500 0.2500 0.2500 x4

---

Entry from Alexandria: a relaxed structure of LuThCoRh (PBE-GGA).

Values from the calculation:
The formation energy is -0.510 eV per atom.

a b c (Å): 6.8666 6.8666 6.8666
angles (deg): 90.00 90.00 90.00
Space group F-43m (No. 216)
Inequivalent atoms, fractional coordinates:
1 Lu 0.0000 0.0000 0.0000 x4
2 Th 0.0000 0.0000 0.5000 x4
3 Co 0.2500 0.2500 0.7500 x4
4 Rh 0.2500 0.2500 0.2500 x4

---

Entry from Alexandria: a relaxed structure of LuTiCoRh (PBE-GGA).

Values from the calculation:
The formation energy is -0.504 eV per atom.

a b c (Å): 6.3655 6.3655 6.3655
angles (deg): 90.00 90.00 90.00
Space group F-43m (No. 216)
Inequivalent atoms, fractional coordinates:
1 Lu 0.0000 0.0000 0.0000 x4
2 Ti 0.0000 0.0000 0.5000 x4
3 Co 0.2500 0.2500 0.2500 x4
4 Rh 0.2500 0.2500 0.7500 x4

---

Which value of formation energy does entry 1 give? -0.334 eV per atom